Entry 1:
VASP calculation (GGA-PBE) on crystalline VCIN2 at its relaxed geometry. Values from VASP.

Results
calculated volume: 80.70 Å³/f.u.
total moment: 0.8 μB/cell
raw total energy: -5.8221 eV per atom
E above lowest polymorph: 0 meV/atom
ΔE_f (raw): 1.4866 eV/atom

The structure in Quantum ESPRESSO input format:
```
&SYSTEM
  ibrav = 0, nat = 5, ntyp = 4
/
ATOMIC_SPECIES
N 14.01 N.upf
C 12.01 C.upf
I 126.90 I.upf
V 50.94 V.upf
ATOMIC_POSITIONS crystal
N 0.000 0.500 0.000
C 0.500 0.500 0.500
I 0.000 0.000 0.500
V 0.000 0.000 0.000
N 0.500 0.000 0.000
CELL_PARAMETERS angstrom
3.688 0.000 0.000
0.000 3.688 0.000
0.000 0.000 5.932
```

---

Entry 2:
VASP calculation (GGA-PBE) on crystalline Al6Zn2Mo at its relaxed geometry. Values from VASP.

Results
calculated volume: 141.32 Å³/f.u.
total moment: 0.0 μB/cell
raw total energy: -4.0209 eV per atom
energy of formation from the pure elements: -0.35 eV/f.u.
E above lowest polymorph: 0 meV/atom

The structure in Quantum ESPRESSO input format:
```
&SYSTEM
  ibrav = 0, nat = 9, ntyp = 3
/
ATOMIC_SPECIES
Zn 65.41 Zn.upf
Mo 95.94 Mo.upf
Al 26.98 Al.upf
ATOMIC_POSITIONS crystal
Zn 0.060 0.848 0.121
Mo 0.500 0.500 0.000
Al 0.842 0.493 0.684
Zn 0.940 0.152 0.879
Al 0.724 0.824 0.447
Al 0.158 0.507 0.316
Al 0.391 0.811 0.782
Al 0.609 0.189 0.218
Al 0.276 0.176 0.553
CELL_PARAMETERS angstrom
3.641 0.000 -1.089
-0.659 5.994 -2.203
-0.043 0.003 6.487
```

---

Entry 3:
VASP calculation (GGA-PBE) on crystalline Ac2SbMo at its relaxed geometry. Values from VASP.

Results
calculated volume: 162.77 Å³/f.u.
total moment: 3.6 μB/cell
raw total energy: -4.9885 eV per atom
E above lowest polymorph: 719 meV/atom
ΔE_f (raw): 0.8041 eV/atom

The structure in Quantum ESPRESSO input format:
```
&SYSTEM
  ibrav = 0, nat = 4, ntyp = 3
/
ATOMIC_SPECIES
Ac 227.00 Ac.upf
Sb 121.76 Sb.upf
Mo 95.94 Mo.upf
ATOMIC_POSITIONS crystal
Ac 0.902 0.902 0.295
Sb 0.500 0.500 0.500
Mo 0.000 0.000 0.000
Ac 0.098 0.098 0.705
CELL_PARAMETERS angstrom
4.235 0.000 0.000
2.117 3.667 0.000
2.117 1.222 10.482
```

---

Entry 4:
VASP calculation (GGA-PBE) on crystalline AlTl2S4 at its relaxed geometry. Values from VASP.

Results
calculated volume: 169.35 Å³/f.u.
total moment: 0.0 μB/cell
raw total energy: -3.9539 eV per atom
ΔE_f (raw): -0.3846 eV/atom

The structure in Quantum ESPRESSO input format:
```
&SYSTEM
  ibrav = 0, nat = 14, ntyp = 3
/
ATOMIC_SPECIES
Tl 204.38 Tl.upf
S 32.06 S.upf
Al 26.98 Al.upf
ATOMIC_POSITIONS crystal
Tl 0.500 0.000 0.000
S 0.751 0.691 0.806
S 0.711 0.275 0.775
S 0.762 0.725 0.225
Tl 0.856 0.894 0.394
S 0.289 0.725 0.225
Al 0.500 0.500 0.000
Al 0.000 0.500 0.000
Tl 0.500 0.500 0.500
S 0.751 0.306 0.191
Tl 0.144 0.106 0.606
S 0.249 0.694 0.809
S 0.249 0.309 0.194
S 0.238 0.275 0.775
CELL_PARAMETERS angstrom
-7.530 0.080 0.329
-3.641 -5.389 4.320
-3.461 2.536 6.523
```

---

Entry 5:
VASP calculation (GGA-PBE) on crystalline Hg2PtBr at its relaxed geometry. Values from VASP.

Results
calculated volume: 89.33 Å³/f.u.
total moment: 0.0 μB/cell
raw total energy: -1.9371 eV per atom
E above lowest polymorph: 146 meV/atom
ΔE_f (raw): 0.1422 eV/atom

The structure in Quantum ESPRESSO input format:
```
&SYSTEM
  ibrav = 0, nat = 4, ntyp = 3
/
ATOMIC_SPECIES
Hg 200.59 Hg.upf
Br 79.90 Br.upf
Pt 195.08 Pt.upf
ATOMIC_POSITIONS crystal
Hg 0.000 0.000 0.460
Hg 0.000 0.000 0.040
Br 0.500 0.500 0.750
Pt 0.500 0.500 0.250
CELL_PARAMETERS angstrom
3.392 0.000 0.000
0.000 3.392 0.000
0.000 0.000 7.765
```

---

Entry 6:
VASP calculation (GGA-PBE) on crystalline Ce3Zn9Ag2 at its relaxed geometry. Values from VASP.

Results
calculated volume: 267.60 Å³/f.u.
total moment: 2.6 μB/cell
raw total energy: -2.7574 eV per atom
energy of formation from the pure elements: -3.63 eV/f.u.

The structure in Quantum ESPRESSO input format:
```
&SYSTEM
  ibrav = 0, nat = 14, ntyp = 3
/
ATOMIC_SPECIES
Zn 65.41 Zn.upf
Ag 107.87 Ag.upf
Ce 140.12 Ce.upf
ATOMIC_POSITIONS crystal
Zn 0.861 0.853 0.425
Zn 0.662 0.696 0.980
Ag 0.500 0.318 0.682
Ag 0.500 0.682 0.318
Zn 0.662 0.980 0.696
Ce 0.709 0.291 0.291
Zn 0.338 0.304 0.020
Zn 0.861 0.425 0.853
Zn 0.139 0.147 0.575
Ce 0.000 0.000 0.000
Zn 0.139 0.575 0.147
Ce 0.291 0.709 0.709
Zn 0.000 0.500 0.500
Zn 0.338 0.020 0.304
CELL_PARAMETERS angstrom
4.400 0.000 1.022
1.622 7.612 2.997
0.389 0.653 8.305
```

---

Entry 7:
VASP calculation (GGA-PBE) on crystalline Ca2TlIrPb at its relaxed geometry. Values from VASP.

Results
calculated volume: 159.50 Å³/f.u.
total moment: 0.0 μB/cell
raw total energy: -4.0217 eV per atom
energy of formation from the pure elements: -1.17 eV/f.u.

The structure in Quantum ESPRESSO input format:
```
&SYSTEM
  ibrav = 0, nat = 5, ntyp = 4
/
ATOMIC_SPECIES
Ca 40.08 Ca.upf
Ir 192.22 Ir.upf
Pb 207.20 Pb.upf
Tl 204.38 Tl.upf
ATOMIC_POSITIONS crystal
Ca 0.500 0.000 0.000
Ca 0.000 0.500 0.000
Ir 0.000 0.000 0.000
Pb 0.000 0.000 0.500
Tl 0.500 0.500 0.500
CELL_PARAMETERS angstrom
5.536 0.000 0.000
0.000 5.536 0.000
0.000 0.000 5.205
```

---

Entry 8:
VASP calculation (GGA-PBE) on crystalline La4PmDy3 at its relaxed geometry. Values from VASP.

Results
calculated volume: 276.34 Å³/f.u.
total moment: 0.0 μB/cell
raw total energy: -4.6686 eV per atom
energy of formation from the pure elements: 0.92 eV/f.u.
E above lowest polymorph: 81 meV/atom

The structure in Quantum ESPRESSO input format:
```
&SYSTEM
  ibrav = 0, nat = 8, ntyp = 3
/
ATOMIC_SPECIES
La 138.91 La.upf
Dy 162.50 Dy.upf
Pm 145.00 Pm.upf
ATOMIC_POSITIONS crystal
La 0.633 0.884 0.266
Dy 0.000 0.500 0.000
Dy 0.762 0.762 0.523
Dy 0.238 0.238 0.477
La 0.367 0.116 0.734
Pm 0.500 0.000 0.000
La 0.633 0.382 0.266
La 0.367 0.618 0.734
CELL_PARAMETERS angstrom
0.399 1.509 -3.162
2.217 -10.570 -4.765
-7.784 3.718 2.758
```

---

Entry 9:
VASP calculation (GGA-PBE) on crystalline Ho4CdPd2 at its relaxed geometry. Values from VASP.

Results
calculated volume: 186.57 Å³/f.u.
total moment: 0.0 μB/cell
raw total energy: -4.6832 eV per atom
energy of formation from the pure elements: -3.17 eV/f.u.
E above lowest polymorph: 57 meV/atom

The structure in Quantum ESPRESSO input format:
```
&SYSTEM
  ibrav = 0, nat = 7, ntyp = 3
/
ATOMIC_SPECIES
Ho 164.93 Ho.upf
Pd 106.42 Pd.upf
Cd 112.41 Cd.upf
ATOMIC_POSITIONS crystal
Ho 0.298 0.298 0.107
Pd 0.401 0.401 0.798
Cd 0.500 0.500 0.500
Ho 0.887 0.887 0.340
Ho 0.702 0.702 0.893
Ho 0.113 0.113 0.660
Pd 0.599 0.599 0.202
CELL_PARAMETERS angstrom
4.737 0.000 0.000
2.369 4.103 0.000
2.369 1.368 9.599
```

---

Entry 10:
VASP calculation (GGA-PBE) on crystalline CdSnCl2 at its relaxed geometry. Values from VASP.

Results
calculated volume: 110.24 Å³/f.u.
total moment: 0.0 μB/cell
raw total energy: -2.6925 eV per atom
E above lowest polymorph: 0 meV/atom
ΔE_f (raw): -0.5397 eV/atom

The structure in Quantum ESPRESSO input format:
```
&SYSTEM
  ibrav = 0, nat = 4, ntyp = 3
/
ATOMIC_SPECIES
Sn 118.71 Sn.upf
Cd 112.41 Cd.upf
Cl 35.45 Cl.upf
ATOMIC_POSITIONS crystal
Sn 0.000 0.000 0.000
Cd 0.500 0.500 0.500
Cl 0.896 0.896 0.896
Cl 0.104 0.104 0.104
CELL_PARAMETERS angstrom
-9.427 -0.509 -1.708
-9.289 2.303 0.675
-8.670 2.895 -2.913
```

---

Entry 11:
VASP calculation (GGA-PBE) on crystalline Tm3Sn5Se12 at its relaxed geometry. Values from VASP.

Results
calculated volume: 576.45 Å³/f.u.
total moment: 0.0 μB/cell
raw total energy: -4.5517 eV per atom
ΔE_f (raw): -0.7895 eV/atom

The structure in Quantum ESPRESSO input format:
```
&SYSTEM
  ibrav = 0, nat = 80, ntyp = 3
/
ATOMIC_SPECIES
Se 78.96 Se.upf
Tm 168.93 Tm.upf
Sn 118.71 Sn.upf
ATOMIC_POSITIONS crystal
Se 0.726 0.586 0.173
Tm 0.625 0.250 0.375
Sn 0.000 0.500 0.000
Se 0.726 0.140 0.053
Sn 0.125 0.375 0.250
Se 0.414 0.274 0.327
Sn 0.375 0.125 0.750
Sn 0.250 0.375 0.625
Sn 0.500 0.500 0.500
Tm 0.750 0.875 0.625
Se 0.327 0.553 0.413
Se 0.640 0.053 0.226
Se 0.327 0.774 0.414
Se 0.226 0.673 0.086
Se 0.827 0.913 0.053
Se 0.553 0.327 0.913
Tm 0.750 0.375 0.125
Se 0.173 0.086 0.726
Sn 0.000 0.500 0.500
Se 0.587 0.947 0.673
Se 0.087 0.173 0.447
Se 0.360 0.947 0.774
Se 0.414 0.140 0.587
Se 0.140 0.726 0.553
Se 0.447 0.774 0.860
Se 0.860 0.274 0.447
Sn 0.250 0.875 0.125
Se 0.587 0.640 0.414
Se 0.947 0.360 0.274
Se 0.860 0.586 0.913
Sn 0.875 0.625 0.750
Se 0.447 0.673 0.087
Se 0.274 0.860 0.947
Se 0.913 0.086 0.860
Se 0.087 0.914 0.140
Se 0.774 0.327 0.914
Se 0.914 0.087 0.640
Se 0.413 0.053 0.327
Tm 0.125 0.250 0.875
Tm 0.375 0.750 0.625
Sn 0.500 0.500 0.000
Tm 0.875 0.125 0.250
Sn 0.875 0.250 0.625
Se 0.673 0.447 0.587
Se 0.914 0.827 0.774
Se 0.553 0.226 0.140
Sn 0.125 0.750 0.375
Tm 0.375 0.625 0.250
Se 0.413 0.360 0.586
Sn 0.375 0.250 0.125
Tm 0.250 0.125 0.375
Se 0.947 0.587 0.173
Se 0.274 0.414 0.827
Sn 0.625 0.750 0.875
Se 0.586 0.726 0.673
Se 0.640 0.587 0.914
Sn 0.500 0.000 0.500
Se 0.053 0.413 0.827
Se 0.360 0.413 0.086
Sn 0.000 0.000 0.000
Se 0.173 0.087 0.947
Se 0.774 0.447 0.360
Se 0.586 0.860 0.413
Se 0.913 0.827 0.553
Sn 0.000 0.000 0.500
Sn 0.750 0.625 0.375
Se 0.827 0.914 0.274
Se 0.086 0.173 0.226
Se 0.086 0.913 0.360
Se 0.053 0.640 0.726
Sn 0.750 0.125 0.875
Tm 0.125 0.875 0.750
Se 0.226 0.553 0.640
Sn 0.625 0.875 0.250
Tm 0.250 0.625 0.875
Sn 0.500 0.000 0.000
Tm 0.875 0.750 0.125
Se 0.140 0.414 0.087
Se 0.673 0.226 0.586
Tm 0.625 0.375 0.750
CELL_PARAMETERS angstrom
14.415 0.000 0.000
-4.805 13.591 0.000
-4.805 -6.795 11.770
```

---

Entry 12:
VASP calculation (GGA-PBE) on crystalline MgCrFe at its relaxed geometry. Values from VASP.

Results
calculated volume: 39.40 Å³/f.u.
total moment: 1.0 μB/cell
raw total energy: -6.1831 eV per atom
energy of formation from the pure elements: 1.13 eV/f.u.
E above lowest polymorph: 115 meV/atom

The structure in Quantum ESPRESSO input format:
```
&SYSTEM
  ibrav = 0, nat = 3, ntyp = 3
/
ATOMIC_SPECIES
Fe 55.84 Fe.upf
Mg 24.30 Mg.upf
Cr 52.00 Cr.upf
ATOMIC_POSITIONS crystal
Fe 0.667 0.333 0.279
Mg 0.333 0.667 0.657
Cr 0.000 0.000 0.063
CELL_PARAMETERS angstrom
-3.545 -0.212 -2.231
3.586 -1.455 -1.617
-0.493 -2.331 1.005
```

---

Entry 13:
VASP calculation (GGA-PBE) on crystalline Pr8NiRh5 at its relaxed geometry. Values from VASP.

Results
calculated volume: 357.17 Å³/f.u.
total moment: 0.0 μB/cell
raw total energy: -6.3095 eV per atom
energy of formation from the pure elements: -7.56 eV/f.u.

The structure in Quantum ESPRESSO input format:
```
&SYSTEM
  ibrav = 0, nat = 14, ntyp = 3
/
ATOMIC_SPECIES
Rh 102.91 Rh.upf
Pr 140.91 Pr.upf
Ni 58.69 Ni.upf
ATOMIC_POSITIONS crystal
Rh 0.373 0.122 0.997
Pr 0.125 0.749 0.992
Pr 0.124 0.751 0.491
Ni 0.250 0.500 0.750
Pr 0.509 0.633 0.260
Pr 0.244 0.251 0.376
Rh 0.749 0.624 0.627
Rh 0.003 0.376 0.124
Pr 0.624 0.868 0.875
Rh 0.500 0.000 0.500
Pr 0.627 0.367 0.876
Pr 0.740 0.249 0.373
Pr 0.008 0.132 0.756
Rh 0.876 0.878 0.251
CELL_PARAMETERS angstrom
7.316 0.000 -2.531
-3.643 6.315 -2.605
-0.030 0.000 7.742
```

---

Entry 14:
VASP calculation (GGA-PBE) on crystalline SrIn2Hg2 at its relaxed geometry. Values from VASP.

Results
calculated volume: 141.96 Å³/f.u.
total moment: 0.0 μB/cell
raw total energy: -1.8680 eV per atom
energy of formation from the pure elements: -1.58 eV/f.u.

The structure in Quantum ESPRESSO input format:
```
&SYSTEM
  ibrav = 0, nat = 5, ntyp = 3
/
ATOMIC_SPECIES
Hg 200.59 Hg.upf
Sr 87.62 Sr.upf
In 114.82 In.upf
ATOMIC_POSITIONS crystal
Hg 0.088 0.175 0.763
Hg 0.912 0.825 0.237
Sr 0.500 0.000 0.000
In 0.295 0.589 0.384
In 0.705 0.411 0.616
CELL_PARAMETERS angstrom
-0.974 -3.716 -3.421
4.852 1.075 1.324
-3.256 -3.630 4.848
```

---

Entry 15:
VASP calculation (GGA-PBE) on crystalline MgZn2CuAu4 at its relaxed geometry. Values from VASP.

Results
calculated volume: 130.51 Å³/f.u.
total moment: 0.0 μB/cell
raw total energy: -2.9459 eV per atom
energy of formation from the pure elements: -2.22 eV/f.u.

The structure in Quantum ESPRESSO input format:
```
&SYSTEM
  ibrav = 0, nat = 8, ntyp = 4
/
ATOMIC_SPECIES
Au 196.97 Au.upf
Cu 63.55 Cu.upf
Zn 65.41 Zn.upf
Mg 24.30 Mg.upf
ATOMIC_POSITIONS crystal
Au 0.378 0.378 0.866
Au 0.873 0.873 0.382
Cu 0.500 0.500 0.500
Au 0.622 0.622 0.134
Zn 0.250 0.250 0.249
Zn 0.750 0.750 0.751
Au 0.127 0.127 0.618
Mg 0.000 0.000 0.000
CELL_PARAMETERS angstrom
-3.477 -2.842 -0.647
0.237 -3.177 -3.231
1.846 -6.682 3.519
```

---

Entry 16:
VASP calculation (GGA-PBE) on crystalline NdDyGaSi at its relaxed geometry. Values from VASP.

Results
calculated volume: 96.30 Å³/f.u.
total moment: 0.0 μB/cell
raw total energy: -5.1719 eV per atom
ΔE_f (raw): -0.7169 eV/atom

The structure in Quantum ESPRESSO input format:
```
&SYSTEM
  ibrav = 0, nat = 4, ntyp = 4
/
ATOMIC_SPECIES
Ga 69.72 Ga.upf
Dy 162.50 Dy.upf
Si 28.09 Si.upf
Nd 144.24 Nd.upf
ATOMIC_POSITIONS crystal
Ga 0.571 0.500 0.142
Dy 0.861 0.500 0.723
Si 0.425 0.000 0.849
Nd 0.143 0.000 0.286
CELL_PARAMETERS angstrom
4.378 0.000 0.000
0.000 4.007 0.000
-2.189 0.000 5.489
```